Entry 1:
# Mn2AlP PBE-GGA optimized geometry
# Calculated formation energy, eV per atom: -0.234
# Density, Mg/m³: 5.82
# Energy, eV per cell: -28.4
# DOS at the Fermi energy, states/eV per cell: 3.2
# Symmetry: No. 10
# ΔE to the lowest computed polymorph, meV/atom: 73
data_Mn2AlP
_chemical_formula_sum 'Mn2 Al1 P1'
_cell_length_a 2.7497
_cell_length_b 3.3577
_cell_length_c 5.2921
_cell_angle_alpha 90.00
_cell_angle_beta 101.45
_cell_angle_gamma 90.00
_space_group_name_H-M_alt 'P 1'
_space_group_IT_number 1
loop_
_space_group_symop_operation_xyz
'x,y,z'
loop_
_atom_site_label
_atom_site_type_symbol
_atom_site_fract_x
_atom_site_fract_y
_atom_site_fract_z
Mn1 Mn 0.1364 0.0000 0.2804
Mn2 Mn 0.8636 0.0000 0.7196
Al1 Al 0.5000 0.5000 0.0000
P1 P 0.5000 0.5000 0.5000

Entry 2:
# AlAgP2 PBE-GGA optimized geometry
# Calculated formation energy, eV per atom: 0.061
# Density, Mg/m³: 4.78
# Energy, eV per cell: -17.2
# DOS at the Fermi energy, states/eV per cell: 1.0
# Symmetry: No. 8
data_AlAgP2
_chemical_formula_sum 'Al1 Ag1 P2'
_cell_length_a 5.5759
_cell_length_b 5.5759
_cell_length_c 3.7340
_cell_angle_alpha 106.04
_cell_angle_beta 106.04
_cell_angle_gamma 38.04
_space_group_name_H-M_alt 'P 1'
_space_group_IT_number 1
loop_
_space_group_symop_operation_xyz
'x,y,z'
loop_
_atom_site_label
_atom_site_type_symbol
_atom_site_fract_x
_atom_site_fract_y
_atom_site_fract_z
Al1 Al 0.0000 0.0000 0.0000
Ag1 Ag 0.7267 0.7267 0.8966
P1 P 0.2403 0.2403 0.4179
P2 P 0.4581 0.4581 0.4705

Entry 3:
# Dy12Ni6N PBE-GGA optimized geometry
# E_form (uncorrected), eV/atom: -0.344
# Density, Mg/m³: 8.46
# Energy, eV per cell: -104.8
# DOS at the Fermi energy, states/eV per cell: 17.3
# Symmetry: No. 148
data_Dy12Ni6N
_chemical_formula_sum 'Dy12 Ni6 N1'
_cell_length_a 7.7536
_cell_length_b 7.7536
_cell_length_c 7.7536
_cell_angle_alpha 96.99
_cell_angle_beta 96.99
_cell_angle_gamma 96.99
_space_group_name_H-M_alt 'P 1'
_space_group_IT_number 1
loop_
_space_group_symop_operation_xyz
'x,y,z'
loop_
_atom_site_label
_atom_site_type_symbol
_atom_site_fract_x
_atom_site_fract_y
_atom_site_fract_z
Dy1 Dy 0.0393 0.9157 0.6934
Dy2 Dy 0.0843 0.3066 0.9607
Dy3 Dy 0.1843 0.5756 0.4109
Dy4 Dy 0.3066 0.9607 0.0843
Dy5 Dy 0.4109 0.1843 0.5756
Dy6 Dy 0.4244 0.5891 0.8157
Dy7 Dy 0.5756 0.4109 0.1843
Dy8 Dy 0.5891 0.8157 0.4244
Dy9 Dy 0.6934 0.0393 0.9157
Dy10 Dy 0.8157 0.4244 0.5891
Dy11 Dy 0.9157 0.6934 0.0393
Dy12 Dy 0.9607 0.0843 0.3066
Ni1 Ni 0.1209 0.3010 0.6212
Ni2 Ni 0.3010 0.6212 0.1209
Ni3 Ni 0.3788 0.8791 0.6990
Ni4 Ni 0.6212 0.1209 0.3010
Ni5 Ni 0.6990 0.3788 0.8791
Ni6 Ni 0.8791 0.6990 0.3788
N1 N 0.0000 0.0000 0.0000

Entry 4:
# Bi2Pd2Pt PBE-GGA optimized geometry
# Calculated formation energy, eV per atom: -0.216
# Density, Mg/m³: 12.58
# Energy, eV per cell: -25.3
# DOS at the Fermi energy, states/eV per cell: 2.3
# Symmetry: No. 12
# ΔE to the lowest computed polymorph, meV/atom: 0
data_Bi2Pd2Pt
_chemical_formula_sum 'Bi2 Pd2 Pt1'
_cell_length_a 4.2322
_cell_length_b 4.2322
_cell_length_c 7.3927
_cell_angle_alpha 106.82
_cell_angle_beta 106.82
_cell_angle_gamma 60.93
_space_group_name_H-M_alt 'P 1'
_space_group_IT_number 1
loop_
_space_group_symop_operation_xyz
'x,y,z'
loop_
_atom_site_label
_atom_site_type_symbol
_atom_site_fract_x
_atom_site_fract_y
_atom_site_fract_z
Bi1 Bi 0.0899 0.0899 0.2801
Bi2 Bi 0.9101 0.9101 0.7199
Pd1 Pd 0.3630 0.3630 0.0915
Pd2 Pd 0.6370 0.6370 0.9085
Pt1 Pt 0.5000 0.5000 0.5000

Entry 5:
# Ca2GeTeO PBE-GGA optimized geometry
# E_form (uncorrected), eV/atom: 0.169
# Density, Mg/m³: 2.79
# Energy, eV per cell: -15.9
# DOS at the Fermi energy, states/eV per cell: 5.1
# Symmetry: No. 123
data_Ca2GeTeO
_chemical_formula_sum 'Ca2 Ge1 Te1 O1'
_cell_length_a 5.8455
_cell_length_b 5.8455
_cell_length_c 5.1627
_cell_angle_alpha 90.00
_cell_angle_beta 90.00
_cell_angle_gamma 90.00
_space_group_name_H-M_alt 'P 1'
_space_group_IT_number 1
loop_
_space_group_symop_operation_xyz
'x,y,z'
loop_
_atom_site_label
_atom_site_type_symbol
_atom_site_fract_x
_atom_site_fract_y
_atom_site_fract_z
Ca1 Ca 0.0000 0.5000 0.0000
Ca2 Ca 0.5000 0.0000 0.0000
Ge1 Ge 0.0000 0.0000 0.5000
Te1 Te 0.0000 0.0000 0.0000
O1 O 0.5000 0.5000 0.5000

Entry 6:
# ZrPa6N12 PBE-GGA optimized geometry
# E_form (uncorrected), eV/atom: -1.550
# Density, Mg/m³: 9.90
# Energy, eV per cell: -194.9
# DOS at the Fermi energy, states/eV per cell: 14.1
# Symmetry: No. 148
data_ZrPa6N12
_chemical_formula_sum 'Zr1 Pa6 N12'
_cell_length_a 6.6070
_cell_length_b 6.6070
_cell_length_c 6.6070
_cell_angle_alpha 99.21
_cell_angle_beta 99.21
_cell_angle_gamma 99.21
_space_group_name_H-M_alt 'P 1'
_space_group_IT_number 1
loop_
_space_group_symop_operation_xyz
'x,y,z'
loop_
_atom_site_label
_atom_site_type_symbol
_atom_site_fract_x
_atom_site_fract_y
_atom_site_fract_z
Zr1 Zr 0.0000 0.0000 0.0000
Pa1 Pa 0.1363 0.2925 0.6002
Pa2 Pa 0.2925 0.6002 0.1363
Pa3 Pa 0.3998 0.8637 0.7075
Pa4 Pa 0.6002 0.1363 0.2925
Pa5 Pa 0.7075 0.3998 0.8637
Pa6 Pa 0.8637 0.7075 0.3998
N1 N 0.0654 0.3202 0.9336
N2 N 0.0664 0.9346 0.6798
N3 N 0.1760 0.5926 0.4363
N4 N 0.3202 0.9336 0.0654
N5 N 0.4074 0.5637 0.8240
N6 N 0.4363 0.1760 0.5926
N7 N 0.5637 0.8240 0.4074
N8 N 0.5926 0.4363 0.1760
N9 N 0.6798 0.0664 0.9346
N10 N 0.8240 0.4074 0.5637
N11 N 0.9336 0.0654 0.3202
N12 N 0.9346 0.6798 0.0664

Entry 7:
# Be2MoPb PBE-GGA optimized geometry
# Calculated formation energy, eV per atom: 0.550
# Density, Mg/m³: 9.28
# Energy, eV per cell: -19.8
# DOS at the Fermi energy, states/eV per cell: 1.9
# Symmetry: No. 47
data_Be2MoPb
_chemical_formula_sum 'Be2 Mo1 Pb1'
_cell_length_a 3.5316
_cell_length_b 3.7970
_cell_length_c 4.2859
_cell_angle_alpha 90.00
_cell_angle_beta 90.00
_cell_angle_gamma 90.00
_space_group_name_H-M_alt 'P 1'
_space_group_IT_number 1
loop_
_space_group_symop_operation_xyz
'x,y,z'
loop_
_atom_site_label
_atom_site_type_symbol
_atom_site_fract_x
_atom_site_fract_y
_atom_site_fract_z
Be1 Be 0.0000 0.0000 0.0000
Be2 Be 0.0000 0.5000 0.5000
Mo1 Mo 0.5000 0.0000 0.5000
Pb1 Pb 0.5000 0.5000 0.0000

Entry 8:
# Ti5Sb2As PBE-GGA optimized geometry
# E_form (uncorrected), eV/atom: -0.071
# Density, Mg/m³: 5.17
# Energy, eV per cell: -105.9
# DOS at the Fermi energy, states/eV per cell: 17.8
# Symmetry: No. 63
# ΔE to the lowest computed polymorph, meV/atom: 506
data_Ti5Sb2As
_chemical_formula_sum 'Ti10 Sb4 As2'
_cell_length_a 6.9039
_cell_length_b 6.9039
_cell_length_c 11.4435
_cell_angle_alpha 90.00
_cell_angle_beta 90.00
_cell_angle_gamma 138.91
_space_group_name_H-M_alt 'P 1'
_space_group_IT_number 1
loop_
_space_group_symop_operation_xyz
'x,y,z'
loop_
_atom_site_label
_atom_site_type_symbol
_atom_site_fract_x
_atom_site_fract_y
_atom_site_fract_z
Ti1 Ti 0.1014 0.8986 0.6304
Ti2 Ti 0.1014 0.8986 0.8696
Ti3 Ti 0.3001 0.6999 0.2500
Ti4 Ti 0.3031 0.6969 0.5295
Ti5 Ti 0.3031 0.6969 0.9705
Ti6 Ti 0.6969 0.3031 0.0295
Ti7 Ti 0.6969 0.3031 0.4705
Ti8 Ti 0.6999 0.3001 0.7500
Ti9 Ti 0.8986 0.1014 0.1304
Ti10 Ti 0.8986 0.1014 0.3696
Sb1 Sb 0.1122 0.8878 0.1092
Sb2 Sb 0.1122 0.8878 0.3908
Sb3 Sb 0.8878 0.1122 0.6092
Sb4 Sb 0.8878 0.1122 0.8908
As1 As 0.2707 0.7293 0.7500
As2 As 0.7293 0.2707 0.2500

Entry 9:
# Pr2BiI PBE-GGA optimized geometry
# E_form (uncorrected), eV/atom: -0.884
# Density, Mg/m³: 8.17
# Energy, eV per cell: -18.5
# DOS at the Fermi energy, states/eV per cell: 3.6
# Symmetry: No. 225
# ΔE to the lowest computed polymorph, meV/atom: 39
data_Pr2BiI
_chemical_formula_sum 'Pr2 Bi1 I1'
_cell_length_a 5.6208
_cell_length_b 5.6208
_cell_length_c 5.6208
_cell_angle_alpha 60.00
_cell_angle_beta 60.00
_cell_angle_gamma 60.00
_space_group_name_H-M_alt 'P 1'
_space_group_IT_number 1
loop_
_space_group_symop_operation_xyz
'x,y,z'
loop_
_atom_site_label
_atom_site_type_symbol
_atom_site_fract_x
_atom_site_fract_y
_atom_site_fract_z
Pr1 Pr 0.2500 0.2500 0.2500
Pr2 Pr 0.7500 0.7500 0.7500
Bi1 Bi 0.0000 0.0000 0.0000
I1 I 0.5000 0.5000 0.5000

Entry 10:
# Ta2Ni PBE-GGA optimized geometry
# Calculated formation energy, eV per atom: 0.686
# Density, Mg/m³: 13.22
# Energy, eV per cell: -109.7
# DOS at the Fermi energy, states/eV per cell: 10.3
# Symmetry: No. 194
data_Ta2Ni
_chemical_formula_sum 'Ta8 Ni4'
_cell_length_a 5.3372
_cell_length_b 5.3372
_cell_length_c 8.5653
_cell_angle_alpha 90.00
_cell_angle_beta 90.00
_cell_angle_gamma 120.00
_space_group_name_H-M_alt 'P 1'
_space_group_IT_number 1
loop_
_space_group_symop_operation_xyz
'x,y,z'
loop_
_atom_site_label
_atom_site_type_symbol
_atom_site_fract_x
_atom_site_fract_y
_atom_site_fract_z
Ta1 Ta 0.0000 0.0000 0.0000
Ta2 Ta 0.0000 0.0000 0.5000
Ta3 Ta 0.1695 0.3391 0.2500
Ta4 Ta 0.1695 0.8305 0.2500
Ta5 Ta 0.3391 0.1695 0.7500
Ta6 Ta 0.6609 0.8305 0.2500
Ta7 Ta 0.8305 0.1695 0.7500
Ta8 Ta 0.8305 0.6609 0.7500
Ni1 Ni 0.3333 0.6667 0.5559
Ni2 Ni 0.3333 0.6667 0.9441
Ni3 Ni 0.6667 0.3333 0.0559
Ni4 Ni 0.6667 0.3333 0.4441

Entry 11:
# MgHO PBE-GGA optimized geometry
# Density, Mg/m³: 1.67
# Energy, eV per cell: -29.7
# DOS at the Fermi energy, states/eV per cell: 0.0
# Symmetry: No. 12
# ΔE to the lowest computed polymorph, meV/atom: 31
data_MgHO
_chemical_formula_sum 'Mg2 H2 O2'
_cell_length_a 3.3945
_cell_length_b 3.3945
_cell_length_c 8.5971
_cell_angle_alpha 104.09
_cell_angle_beta 104.09
_cell_angle_gamma 59.99
_space_group_name_H-M_alt 'P 1'
_space_group_IT_number 1
loop_
_space_group_symop_operation_xyz
'x,y,z'
loop_
_atom_site_label
_atom_site_type_symbol
_atom_site_fract_x
_atom_site_fract_y
_atom_site_fract_z
Mg1 Mg 0.1141 0.1141 0.3725
Mg2 Mg 0.8859 0.8859 0.6275
H1 H 0.4530 0.4530 0.9597
H2 H 0.5470 0.5470 0.0403
O1 O 0.2224 0.2224 0.6356
O2 O 0.7776 0.7776 0.3644

Q: Among the records above, which one has the lowest density?
A: MgHO

Q: Look up the density of the seventh one.
A: 9.28 Mg/m³